Entry 1:
A relaxed Pm2ErTl crystal. Source: the Alexandria database, functional PBE.

Lattice parameters (Å, degrees): 4.877 4.877 4.990 90.00 90.00 90.00
Sites, in units of the cell vectors:
Pm 0.000 0.500 0.000
Pm 0.500 0.000 0.000
Er 0.000 0.000 0.500
Tl 0.500 0.500 0.500

Crystal system   tetragonal
Energy relative to the elements   -191 meV per atom
Relative energy among the computed polymorphs   0.000 eV per atom

---

Entry 2:
A relaxed Pm2Er3Tl3 crystal. Source: the Alexandria database, functional PBE.

Lattice parameters (Å, degrees): 4.941 5.027 9.177 90.00 90.00 90.00
Sites, in units of the cell vectors:
Pm 0.000 0.000 0.244
Pm 0.000 0.000 0.756
Er 0.500 0.000 0.500
Er 0.500 0.500 0.231
Er 0.500 0.500 0.769
Tl 0.000 0.500 0.000
Tl 0.000 0.500 0.500
Tl 0.500 0.000 0.000

Crystal system   orthorhombic
Energy relative to the elements   -236 meV per atom

---

Entry 3:
A relaxed PmEr2Tl4 crystal. Source: the Alexandria database, functional PBE.

Lattice parameters (Å, degrees): 6.506 6.506 6.506 108.30 108.30 111.83
Sites, in units of the cell vectors:
Pm 0.000 0.000 0.000
Er 0.000 0.500 0.500
Er 0.500 0.000 0.500
Tl 0.000 0.000 0.500
Tl 0.000 0.500 0.000
Tl 0.500 0.000 0.000
Tl 0.500 0.500 0.500

Crystal system   tetragonal
Energy relative to the elements   -212 meV per atom
Relative energy among the computed polymorphs   0.000 eV per atom

---

Entry 4:
A relaxed PmEr4Tl crystal. Source: the Alexandria database, functional PBE.

Lattice parameters (Å, degrees): 3.578 3.578 14.149 90.00 90.00 90.00
Sites, in units of the cell vectors:
Pm 0.000 0.000 0.000
Er 0.000 0.000 0.351
Er 0.000 0.000 0.649
Er 0.500 0.500 0.179
Er 0.500 0.500 0.821
Tl 0.500 0.500 0.500

Crystal system   tetragonal
Energy relative to the elements   -102 meV per atom
Relative energy among the computed polymorphs   0.000 eV per atom

---

Entry 5:
A relaxed Pm4ErTl crystal. Source: the Alexandria database, functional PBE.

Lattice parameters (Å, degrees): 4.133 4.133 11.270 90.00 90.00 90.00
Sites, in units of the cell vectors:
Pm 0.000 0.000 0.148
Pm 0.000 0.000 0.852
Pm 0.500 0.500 0.335
Pm 0.500 0.500 0.665
Er 0.000 0.000 0.500
Tl 0.500 0.500 0.000

Crystal system   tetragonal
Energy relative to the elements   -45 meV per atom
Relative energy among the computed polymorphs   0.000 eV per atom

---

Entry 6:
A relaxed Pm6Er8Tl crystal. Source: the Alexandria database, functional PBE.

Lattice parameters (Å, degrees): 9.437 9.437 6.321 90.00 90.00 120.00
Sites, in units of the cell vectors:
Pm 0.090 0.452 0.313
Pm 0.362 0.910 0.313
Pm 0.452 0.362 0.687
Pm 0.548 0.638 0.313
Pm 0.638 0.090 0.687
Pm 0.910 0.548 0.687
Er 0.039 0.263 0.811
Er 0.224 0.961 0.811
Er 0.263 0.224 0.189
Er 0.333 0.667 0.822
Er 0.667 0.333 0.178
Er 0.737 0.776 0.811
Er 0.776 0.039 0.189
Er 0.961 0.737 0.189
Tl 0.000 0.000 0.500

Crystal system   trigonal
Energy relative to the elements   82 meV per atom

---

Entry 7:
A relaxed Pm2ErTl crystal. Source: the Alexandria database, functional PBE.

Lattice parameters (Å, degrees): 6.142 6.142 6.142 133.90 133.90 67.25
Sites, in units of the cell vectors:
Pm 0.250 0.750 0.500
Pm 0.750 0.250 0.500
Er 0.000 0.000 0.000
Tl 0.500 0.500 0.000

Crystal system   tetragonal
Energy relative to the elements   -175 meV per atom
Relative energy among the computed polymorphs   0.016 eV per atom

---

Entry 8:
A relaxed PmErTl2 crystal. Source: the Alexandria database, functional PBE.

Lattice parameters (Å, degrees): 9.943 9.943 9.943 21.91 21.91 21.91
Sites, in units of the cell vectors:
Pm 0.000 0.000 0.000
Er 0.500 0.500 0.500
Tl 0.248 0.248 0.248
Tl 0.752 0.752 0.752

Crystal system   trigonal
Energy relative to the elements   -254 meV per atom

---

Entry 9:
A relaxed PmEr2Tl crystal. Source: the Alexandria database, functional PBE.

Lattice parameters (Å, degrees): 4.888 4.888 4.823 90.00 90.00 90.00
Sites, in units of the cell vectors:
Pm 0.000 0.000 0.000
Er 0.000 0.500 0.500
Er 0.500 0.000 0.500
Tl 0.500 0.500 0.000

Crystal system   tetragonal
Energy relative to the elements   -178 meV per atom
Relative energy among the computed polymorphs   0.000 eV per atom

---

Entry 10:
A relaxed Pm3ErTl4 crystal. Source: the Alexandria database, functional PBE.

Lattice parameters (Å, degrees): 10.232 10.232 10.232 159.35 138.89 46.44
Sites, in units of the cell vectors:
Pm 0.000 0.000 0.000
Pm 0.280 0.780 0.500
Pm 0.720 0.220 0.500
Er 0.500 0.500 0.000
Tl 0.093 0.375 0.719
Tl 0.344 0.625 0.719
Tl 0.656 0.375 0.281
Tl 0.907 0.625 0.281

Crystal system   orthorhombic
Energy relative to the elements   -237 meV per atom
Relative energy among the computed polymorphs   0.137 eV per atom